<1>
VASP calculation (GGA-PBEsol) on a relaxed KSrCl2 crystal.

abc: 4.115 4.298 8.154
angles: 90.00 90.00 90.00
Sites, in units of the cell vectors:
Cl (0.000, 0.000, 0.000)
Cl (0.000, 0.500, 0.500)
Sr (0.500, 0.000, 0.500)
K (0.500, 0.500, 0.000)

Properties
Space-group type ... Pmmm

<2>
VASP calculation (GGA-PBEsol) on a relaxed KSrCl2 crystal.

abc: 3.616 5.436 5.436
angles: 90.00 90.00 90.00
Sites, in units of the cell vectors:
Sr (0.500, 0.000, 0.000)
K (0.500, 0.500, 0.500)
Cl (0.000, 0.500, 0.000)
Cl (0.000, 0.000, 0.500)

Properties
Space-group type ... P4/mmm

<3>
VASP calculation (GGA-PBEsol) on a relaxed KSrCl2 crystal.

abc: 3.893 4.260 8.315
angles: 90.06 103.54 90.00
Sites, in units of the cell vectors:
Cl (0.074, 0.124, 0.148)
Cl (0.248, 0.625, 0.497)
Sr (0.712, 0.125, 0.424)
K (0.465, 0.625, 0.930)

Properties
Space-group type ... Cm

<4>
VASP calculation (GGA-PBEsol) on a relaxed KSrCl2 crystal.

abc: 4.130 4.823 8.623
angles: 90.00 90.00 115.35
Sites, in units of the cell vectors:
K (0.500, 0.000, 0.500)
Cl (0.000, 0.000, 0.239)
Cl (0.000, 0.000, 0.761)
Sr (0.500, 0.000, 0.000)

Properties
Space-group type ... Cmmm

Bottom line: <3>, by a margin of 45 meV per atom.

<1>
VASP calculation (GGA-PBEsol) on a relaxed K2SrCl crystal.

abc: 6.517 6.517 6.517
angles: 60.00 60.00 60.00
Sites, in units of the cell vectors:
Sr (0.250, 0.250, 0.250)
Cl (0.500, 0.500, 0.500)
K (0.000, 0.000, 0.000)
K (0.750, 0.750, 0.750)

Properties
Space-group type ... F-43m

<2>
VASP calculation (GGA-PBEsol) on a relaxed K2SrCl crystal.

abc: 3.897 3.897 11.027
angles: 90.00 90.23 90.00
Sites, in units of the cell vectors:
K (0.000, 0.000, 0.664)
K (0.000, 0.000, 0.336)
Cl (0.500, 0.500, 0.500)
Sr (0.500, 0.500, 0.000)

Properties
Space-group type ... P2/m

Bottom line: <2>, by a margin of 471 meV per atom.

<1>
VASP calculation (GGA-PBEsol) on a relaxed KTa2Cl crystal.

abc: 3.099 4.523 6.718
angles: 90.00 90.00 90.84
Sites, in units of the cell vectors:
Ta (0.243, 0.262, 0.000)
Ta (0.757, 0.738, 0.000)
Cl (0.000, 0.000, 0.500)
K (0.500, 0.500, 0.500)

Properties
Space-group type ... P2/m

<2>
VASP calculation (GGA-PBEsol) on a relaxed KTa2Cl crystal.

abc: 2.992 3.474 9.007
angles: 100.46 90.00 90.00
Sites, in units of the cell vectors:
K (0.500, 0.289, 0.712)
Cl (0.000, 0.681, 0.483)
Ta (0.000, 0.961, 0.064)
Ta (0.500, 0.570, 0.241)

Properties
Space-group type ... Pm

Bottom line: <2>, by a margin of 532 meV per atom.

<1>
VASP calculation (GGA-PBEsol) on a relaxed KTeCl2 crystal.

abc: 4.887 4.887 5.764
angles: 90.00 90.00 108.03
Sites, in units of the cell vectors:
Cl (0.500, 0.500, 0.500)
Cl (0.000, 0.000, 0.000)
K (0.000, 0.000, 0.500)
Te (0.500, 0.500, 0.000)

Properties
Space-group type ... Cmmm

<2>
VASP calculation (GGA-PBEsol) on a relaxed KTeCl2 crystal.

abc: 4.525 4.628 5.899
angles: 93.22 90.00 90.00
Sites, in units of the cell vectors:
K (0.500, 0.000, 0.500)
Cl (0.000, 0.309, 0.219)
Cl (0.000, 0.691, 0.781)
Te (0.500, 0.500, 0.000)

Properties
Space-group type ... P2/m

<3>
VASP calculation (GGA-PBEsol) on a relaxed KTeCl2 crystal.

abc: 3.339 6.140 6.140
angles: 66.44 74.22 74.22
Sites, in units of the cell vectors:
Te (0.000, 0.500, 0.500)
Cl (0.736, 0.264, 0.264)
Cl (0.264, 0.736, 0.736)
K (0.500, 0.000, 0.000)

Properties
Space-group type ... Immm

<4>
VASP calculation (GGA-PBEsol) on a relaxed KTeCl2 crystal.

abc: 3.396 3.396 8.388
angles: 90.00 90.00 90.00
Site moments in Bohr magnetons follow the coordinates.
Sites, in units of the cell vectors:
Cl (0.000, 0.000, 0.771)  0.03
Cl (0.000, 0.000, 0.229)  0.03
K (0.500, 0.500, 0.000)  0.00
Te (0.500, 0.500, 0.500)  0.21

Properties
Space-group type ... P4/mmm

Bottom line: <2>, by a margin of 23 meV per atom.

<1>
VASP calculation (GGA-PBEsol) on a relaxed KTlCl crystal.

abc: 3.964 3.964 7.048
angles: 90.00 90.00 120.00
Sites, in units of the cell vectors:
K (0.333, 0.667, 0.719)
Cl (0.000, 0.000, 0.975)
Tl (0.667, 0.333, 0.306)

Properties
Space-group type ... P3m1

<2>
VASP calculation (GGA-PBEsol) on a relaxed KTlCl crystal.

abc: 3.694 5.342 5.342
angles: 120.00 90.00 90.00
Sites, in units of the cell vectors:
Cl (0.164, 0.000, 0.000)
K (0.668, 0.333, 0.667)
Tl (0.168, 0.667, 0.333)

Properties
Space-group type ... P3m1

Bottom line: <1>, by a margin of 60 meV per atom.

<1>
VASP calculation (GGA-PBEsol) on a relaxed KW2Cl crystal.

abc: 2.731 2.731 10.110
angles: 90.00 90.00 90.00
Sites, in units of the cell vectors:
W (0.000, 0.000, 0.201)
W (0.000, 0.000, 0.799)
Cl (0.500, 0.500, 0.000)
K (0.500, 0.500, 0.500)

Properties
Space-group type ... P4/mmm

<2>
VASP calculation (GGA-PBEsol) on a relaxed KW2Cl crystal.

abc: 4.597 4.597 4.597
angles: 60.00 60.00 60.00
Sites, in units of the cell vectors:
Cl (0.000, 0.000, 0.000)
W (0.750, 0.750, 0.750)
W (0.250, 0.250, 0.250)
K (0.500, 0.500, 0.500)

Properties
Space-group type ... Fm-3m

Bottom line: <1>, by a margin of 1178 meV per atom.